Here is a relaxed structure of ReRu from Alexandria via LeMat-Bulk. Energies are from PBEsol.

Final energy, eV/atom: -11.840
DOS(E_F), states/eV/f.u.: 1.8
Symmetry: No. 51

abc: 2.731 4.327 4.709
angles: 90.00 90.00 90.00
Atoms (fractional coordinates):
Re1 0.000 0.250 0.332
Re2 0.000 0.750 0.668
Ru1 0.500 0.750 0.172
Ru2 0.500 0.250 0.828

=====

Here is a relaxed structure of DyMgMnS4 from Alexandria via LeMat-Bulk. Energies are from PBEsol.

Formation energy from raw total energies, meV/atom: -1251
Final energy, eV/atom: -6.108
DOS(E_F), states/eV/f.u.: 1.3
Symmetry: No. 74

abc: 7.447 7.447 7.447
angles: 87.72 62.22 119.62
Each line ends with the local moment (μB).
Atoms (fractional coordinates):
Dy1 0.000 0.000 0.000  0.04
Dy2 0.500 0.000 0.500  0.04
Mg1 0.250 0.372 0.378  0.01
Mg2 0.750 0.628 0.622  0.01
Mn1 0.500 0.000 0.000  3.65
Mn2 0.000 0.500 0.000  3.65
S1 0.534 0.259 0.208  0.01
S2 0.004 0.734 0.769  -0.01
S3 0.496 0.227 0.769  -0.01
S4 0.034 0.741 0.225  0.01
S5 0.504 0.773 0.231  -0.01
S6 0.966 0.259 0.775  0.01
S7 0.466 0.741 0.792  0.01
S8 0.996 0.266 0.231  -0.01

=====

Here is a relaxed structure of Mg3Mo from Alexandria via LeMat-Bulk. Energies are from PBEsol.

Final energy, eV/atom: -3.644
DOS(E_F), states/eV/f.u.: 2.1
Symmetry: No. 223

abc: 5.301 5.301 5.301
angles: 90.00 90.00 90.00
Atoms (fractional coordinates):
Mg1 0.000 0.250 0.500
Mg2 0.000 0.750 0.500
Mg3 0.250 0.500 0.000
Mg4 0.500 0.000 0.250
Mg5 0.500 0.000 0.750
Mg6 0.750 0.500 0.000
Mo1 0.000 0.000 0.000
Mo2 0.500 0.500 0.500

=====

Here is a relaxed structure of ZrGaSe2Br from Alexandria via LeMat-Bulk. Energies are from PBEsol.

Formation energy from raw total energies, meV/atom: -695
Final energy, eV/atom: -5.095
DOS(E_F), states/eV/f.u.: 1.0
Symmetry: No. 123

abc: 5.162 5.162 5.274
angles: 90.00 90.00 90.00
Atoms (fractional coordinates):
Ga1 0.500 0.500 0.500
Se1 0.000 0.500 0.000
Se2 0.500 0.000 0.000
Br1 0.000 0.000 0.500
Zr1 0.000 0.000 0.000

=====

Here is a relaxed structure of CsTm2Cl7 from Alexandria via LeMat-Bulk. Energies are from PBEsol.

Formation energy from raw total energies, meV/atom: -2275
Final energy, eV/atom: -4.754
DOS(E_F), states/eV/f.u.: 0.0
Symmetry: No. 62

abc: 6.809 12.334 13.632
angles: 90.00 90.00 90.00
Atoms (fractional coordinates):
Cs1 0.250 0.795 0.036
Cs2 0.750 0.205 0.964
Cs3 0.750 0.295 0.464
Cs4 0.250 0.705 0.536
Tm1 0.250 0.450 0.244
Tm2 0.750 0.550 0.756
Tm3 0.750 0.950 0.256
Tm4 0.250 0.050 0.744
Tm5 0.250 0.146 0.248
Tm6 0.750 0.854 0.752
Tm7 0.750 0.646 0.252
Tm8 0.250 0.354 0.748
Cl1 0.008 0.297 0.182
Cl2 0.992 0.703 0.818
Cl3 0.992 0.797 0.318
Cl4 0.508 0.703 0.818
Cl5 0.008 0.203 0.682
Cl6 0.492 0.297 0.182
Cl7 0.492 0.203 0.682
Cl8 0.508 0.797 0.318
Cl9 0.010 0.564 0.130
Cl10 0.990 0.436 0.870
Cl11 0.990 0.064 0.370
Cl12 0.510 0.436 0.870
Cl13 0.010 0.936 0.630
Cl14 0.490 0.564 0.130
Cl15 0.490 0.936 0.630
Cl16 0.510 0.064 0.370
Cl17 0.010 0.031 0.133
Cl18 0.990 0.969 0.867
Cl19 0.990 0.531 0.367
Cl20 0.510 0.969 0.867
Cl21 0.010 0.469 0.633
Cl22 0.490 0.031 0.133
Cl23 0.490 0.469 0.633
Cl24 0.510 0.531 0.367
Cl25 0.250 0.299 0.388
Cl26 0.750 0.701 0.612
Cl27 0.750 0.799 0.112
Cl28 0.250 0.201 0.888

=====

Here is a relaxed structure of BeSnPb2 from Alexandria via LeMat-Bulk. Energies are from PBEsol.

Final energy, eV/atom: -3.553
DOS(E_F), states/eV/f.u.: 1.9
Symmetry: No. 225

abc: 5.191 5.191 5.191
angles: 60.00 60.00 60.00
Atoms (fractional coordinates):
Pb1 0.250 0.250 0.250
Pb2 0.750 0.750 0.750
Be1 0.000 0.000 0.000
Sn1 0.500 0.500 0.500

=====

Here is a relaxed structure of Sc3ZnC from Alexandria via LeMat-Bulk. Energies are from PBEsol.

Final energy, eV/atom: -6.666
DOS(E_F), states/eV/f.u.: 4.7
Symmetry: No. 74

abc: 6.261 6.261 6.261
angles: 90.80 119.15 119.93
Atoms (fractional coordinates):
Sc1 0.000 0.784 0.284
Sc2 0.500 0.784 0.784
Sc3 0.500 0.216 0.216
Sc4 0.000 0.216 0.716
Sc5 0.430 0.680 0.250
Sc6 0.570 0.320 0.750
Zn1 0.992 0.242 0.250
Zn2 0.008 0.758 0.750
C1 0.500 0.500 0.000
C2 0.500 0.000 0.500

=====

Here is a relaxed structure of ReSe3 from Alexandria via LeMat-Bulk. Energies are from PBEsol.

Formation energy from raw total energies, meV/atom: 341
Final energy, eV/atom: -5.879
DOS(E_F), states/eV/f.u.: 1.6
Symmetry: No. 63

abc: 3.364 8.017 8.178
angles: 119.35 90.00 90.00
Atoms (fractional coordinates):
Re1 0.250 0.562 0.123
Re2 0.750 0.438 0.877
Se1 0.750 0.065 0.129
Se2 0.250 0.935 0.871
Se3 0.750 0.107 0.702
Se4 0.250 0.893 0.298
Se5 0.750 0.594 0.702
Se6 0.250 0.406 0.298

=====

Here is a relaxed structure of BaNiC3 from Alexandria via LeMat-Bulk. Energies are from PBEsol.

Final energy, eV/atom: -5.593
DOS(E_F), states/eV/f.u.: 5.0
Symmetry: No. 221

abc: 4.023 4.023 4.023
angles: 90.00 90.00 90.00
Each line ends with the local moment (μB).
Atoms (fractional coordinates):
Ni1 0.000 0.000 0.000  0.59
C1 0.000 0.500 0.000  0.37
C2 0.000 0.000 0.500  0.37
C3 0.500 0.000 0.000  0.37
Ba1 0.500 0.500 0.500  0.15

=====

Here is a relaxed structure of Fe2AgHg from Alexandria via LeMat-Bulk. Energies are from PBEsol.

Final energy, eV/atom: -4.999
DOS(E_F), states/eV/f.u.: 3.4
Symmetry: No. 123

abc: 2.775 2.775 7.752
angles: 90.00 90.00 90.08
Each line ends with the local moment (μB).
Atoms (fractional coordinates):
Ag1 0.500 0.500 0.000  0.00
Fe1 0.000 0.000 0.241  2.71
Fe2 0.000 0.000 0.759  2.71
Hg1 0.500 0.500 0.500  -0.07

=====

Here is a relaxed structure of InIr2 from Alexandria via LeMat-Bulk. Energies are from PBEsol.

Final energy, eV/atom: -7.405
DOS(E_F), states/eV/f.u.: 3.6
Symmetry: No. 63

abc: 3.883 4.020 6.346
angles: 90.00 107.81 90.00
Atoms (fractional coordinates):
In1 0.087 0.250 0.174
In2 0.913 0.750 0.826
Ir1 0.411 0.250 0.821
Ir2 0.589 0.750 0.179
Ir3 0.749 0.250 0.498
Ir4 0.251 0.750 0.502

=====

Here is a relaxed structure of TlCrSi from Alexandria via LeMat-Bulk. Energies are from PBEsol.

Formation energy from raw total energies, meV/atom: 534
Final energy, eV/atom: -5.672
DOS(E_F), states/eV/f.u.: 1.8
Symmetry: No. 156

abc: 3.002 3.002 6.507
angles: 90.00 90.00 120.00
Each line ends with the local moment (μB).
Atoms (fractional coordinates):
Cr1 0.000 0.000 0.969  1.72
Si1 0.333 0.667 0.711  0.00
Tl1 0.667 0.333 0.320  -0.02